VASP calculation (GGA+U) on a relaxed structure of LiNiPO4F.

Unit cell a=5.146 b=5.436 c=7.289 alpha=107.26 beta=106.00 gamma=101.90
Site moments in Bohr magnetons follow the coordinates.
Fractional coordinates of all 16 atoms:
Li: 0.303 0.675 0.309  0.00
Li: 0.697 0.325 0.691  0.00
Ni: 0.000 0.000 0.000  1.71
Ni: 0.000 0.000 0.500  1.72
P: 0.297 0.660 0.751  0.02
P: 0.703 0.340 0.249  0.02
O: 0.582 0.810 0.942  -0.35
O: 0.680 0.626 0.345  -0.14
O: 0.320 0.374 0.655  -0.14
O: 0.271 0.801 0.595  -0.11
O: 0.418 0.190 0.058  -0.35
O: 0.729 0.199 0.405  -0.11
O: 0.952 0.350 0.169  -0.09
O: 0.048 0.650 0.831  -0.09
F: 0.122 0.927 0.258  0.04
F: 0.878 0.073 0.742  0.04

Output
**DOS at the Fermi energy**: 5.89 states/eV per cell
**Distance to the lowest polymorph of the same formula**: 0 meV/atom
**Density**: 3.4 g cm⁻³